Entry from Alexandria: crystalline PrSi2Os4 at its relaxed geometry (PBE).

Unit cell a=4.000 b=4.016 c=7.431 alpha=105.68 beta=90.00 gamma=90.00
Fractional coordinates of all 7 atoms:
Os 0.000 0.691 0.381
Os 0.500 0.812 0.624
Os 0.500 0.188 0.376
Os 0.000 0.309 0.619
Si 0.500 0.586 0.173
Si 0.500 0.414 0.827
Pr 0.000 0.000 0.000

## Properties
- formation energy without anion corrections (meV/atom) = -465
- SG = Cmmm (65)
- M_tot (μB/cell) = 0.00
- DOS(E_F) (states/eV/cell) = 3.57

Entry from Alexandria: crystalline VSe2BrCl at its relaxed geometry (PBE).

Unit cell a=4.792 b=4.792 c=4.997 alpha=90.00 beta=90.00 gamma=90.00
Fractional coordinates of all 5 atoms:
V 0.000 0.000 0.000
Cl 0.500 0.500 0.500
Br 0.000 0.000 0.500
Se 0.000 0.500 0.000
Se 0.500 0.000 0.000

## Properties
- formation energy without anion corrections (meV/atom) = -82
- SG = P4/mmm (123)
- M_tot (μB/cell) = 0.00
- DOS(E_F) (states/eV/cell) = 6.08

Entry from Alexandria: crystalline CsCd2Pb2 at its relaxed geometry (PBE).

Unit cell a=8.409 b=7.263 c=7.564 alpha=89.09 beta=72.12 gamma=53.25
Fractional coordinates of all 10 atoms:
Pb 0.385 0.318 0.088
Pb 0.706 0.327 0.568
Pb 0.294 0.673 0.432
Pb 0.615 0.682 0.912
Cd 0.161 0.074 0.210
Cd 0.215 0.739 0.897
Cd 0.839 0.926 0.790
Cd 0.785 0.261 0.103
Cs 0.781 0.773 0.320
Cs 0.219 0.227 0.680

## Properties
- SG = P-1 (2)
- M_tot (μB/cell) = 0.00
- formation energy from the elements (eV/atom) = -0.09
- DOS(E_F) (states/eV/cell) = 3.84

Entry from Alexandria: crystalline CeMg10Zn3 at its relaxed geometry (PBE).

Unit cell a=9.764 b=9.764 c=9.764 alpha=60.00 beta=60.00 gamma=60.00
Fractional coordinates of all 28 atoms:
Mg 0.387 0.840 0.387
Mg 0.000 0.345 0.000
Mg 0.387 0.387 0.840
Mg 0.000 0.655 0.345
Mg 0.345 0.655 0.000
Mg 0.655 0.000 0.345
Mg 0.655 0.345 0.000
Mg 0.160 0.613 0.613
Mg 0.613 0.160 0.613
Mg 0.000 0.000 0.655
Mg 0.840 0.387 0.387
Mg 0.387 0.387 0.387
Mg 0.000 0.345 0.655
Mg 0.345 0.000 0.655
Mg 0.655 0.000 0.000
Mg 0.613 0.613 0.160
Mg 0.345 0.000 0.000
Mg 0.000 0.655 0.000
Mg 0.000 0.000 0.345
Mg 0.613 0.613 0.613
Zn 0.268 0.732 0.268
Zn 0.732 0.732 0.268
Zn 0.732 0.268 0.268
Zn 0.268 0.732 0.732
Zn 0.732 0.268 0.732
Zn 0.268 0.268 0.732
Ce 0.250 0.250 0.250
Ce 0.750 0.750 0.750

## Properties
- SG = Fm-3m (225)
- M_tot (μB/cell) = 2.01
- formation energy from the elements (eV/atom) = 0.04
- DOS(E_F) (states/eV/cell) = 26.07

Entry from Alexandria: crystalline TbPrCo10 at its relaxed geometry (PBE).

Unit cell a=3.945 b=4.972 c=8.652 alpha=90.00 beta=90.00 gamma=90.00
Fractional coordinates of all 12 atoms:
Tb 0.000 0.000 0.000
Co 0.500 0.753 0.245
Co 0.000 0.500 0.162
Co 0.500 0.500 0.000
Co 0.000 0.500 0.838
Co 0.000 0.000 0.675
Co 0.000 0.000 0.325
Co 0.500 0.247 0.755
Co 0.500 0.753 0.755
Co 0.500 0.247 0.245
Co 0.500 0.000 0.500
Pr 0.000 0.500 0.500

## Properties
- SG = Pmmm (47)
- M_tot (μB/cell) = 14.17
- formation energy from the elements (eV/atom) = -0.06
- DOS(E_F) (states/eV/cell) = 19.31

Entry from Alexandria: crystalline YIrPt2 at its relaxed geometry (PBE).

Unit cell a=9.455 b=9.455 c=9.455 alpha=17.98 beta=17.98 gamma=17.98
Fractional coordinates of all 4 atoms:
Pt 0.253 0.253 0.253
Pt 0.002 0.002 0.002
Y 0.499 0.499 0.499
Ir 0.746 0.746 0.746

## Properties
- SG = R3m (160)
- M_tot (μB/cell) = 0.00
- formation energy from the elements (eV/atom) = 0.04
- DOS(E_F) (states/eV/cell) = 6.61

Entry from Alexandria: crystalline Ba2TiBeSb at its relaxed geometry (PBE).

Unit cell a=6.200 b=5.215 c=6.200 alpha=90.00 beta=90.00 gamma=90.00
Fractional coordinates of all 5 atoms:
Ba 0.000 0.000 0.500
Ba 0.500 0.000 0.000
Sb 0.000 0.500 0.000
Ti 0.000 0.000 0.000
Be 0.500 0.500 0.500

## Properties
- formation energy without anion corrections (meV/atom) = 598
- SG = P4/mmm (123)
- M_tot (μB/cell) = 2.63
- DOS(E_F) (states/eV/cell) = 4.82

Entry from Alexandria: crystalline RbBeInCl4 at its relaxed geometry (PBE).

Unit cell a=6.910 b=6.884 c=9.419 alpha=90.00 beta=105.69 gamma=90.00
Fractional coordinates of all 14 atoms:
In 0.266 0.250 0.052
In 0.734 0.750 0.948
Be 0.186 0.750 0.270
Be 0.814 0.250 0.730
Rb 0.223 0.250 0.534
Rb 0.777 0.750 0.466
Cl 0.599 0.250 0.839
Cl 0.401 0.750 0.161
Cl 0.998 0.012 0.788
Cl 0.301 0.750 0.493
Cl 0.699 0.250 0.507
Cl 0.002 0.988 0.212
Cl 0.998 0.488 0.788
Cl 0.002 0.512 0.212

## Properties
- formation energy without anion corrections (meV/atom) = -1454
- SG = P2_1/m (11)
- M_tot (μB/cell) = 0.00
- DOS(E_F) (states/eV/cell) = 0.00

Entry from Alexandria: crystalline SnRuAu3 at its relaxed geometry (PBE).

Unit cell a=5.045 b=5.045 c=5.045 alpha=90.00 beta=90.00 gamma=90.00
Fractional coordinates of all 5 atoms:
Au 0.000 0.000 0.500
Au 0.000 0.500 0.000
Au 0.500 0.000 0.000
Ru 0.000 0.000 0.000
Sn 0.500 0.500 0.500

## Properties
- SG = Pm-3m (221)
- M_tot (μB/cell) = 1.96
- formation energy from the elements (eV/atom) = 0.86
- DOS(E_F) (states/eV/cell) = 4.88

Entry from Alexandria: crystalline TiGa2Pb at its relaxed geometry (PBE).

Unit cell a=7.789 b=7.789 c=6.201 alpha=51.10 beta=51.10 gamma=90.00
Fractional coordinates of all 8 atoms:
Ga 0.875 0.848 0.750
Ga 0.152 0.625 0.250
Ga 0.598 0.125 0.250
Ga 0.375 0.402 0.750
Pb 0.000 0.000 0.000
Pb 0.750 0.250 0.500
Ti 0.250 0.750 0.500
Ti 0.500 0.500 0.000

## Properties
- SG = I-42d (122)
- M_tot (μB/cell) = 0.00
- formation energy from the elements (eV/atom) = 0.19
- DOS(E_F) (states/eV/cell) = 5.04

Entry from Alexandria: crystalline CuHg2Te at its relaxed geometry (PBE).

Unit cell a=4.971 b=4.971 c=4.971 alpha=110.60 beta=110.60 gamma=107.24
Fractional coordinates of all 4 atoms:
Hg 0.250 0.750 0.500
Hg 0.000 0.000 0.000
Te 0.500 0.500 0.000
Cu 0.750 0.250 0.500

## Properties
- formation energy without anion corrections (meV/atom) = 284
- SG = I-4m2 (119)
- M_tot (μB/cell) = 0.00
- DOS(E_F) (states/eV/cell) = 0.69

Entry from Alexandria: crystalline Pm4Sm2TmTh at its relaxed geometry (PBE).

Unit cell a=6.057 b=6.053 c=9.469 alpha=50.34 beta=90.00 gamma=90.00
Fractional coordinates of all 8 atoms:
Pm 0.000 0.253 0.247
Pm 0.500 0.752 0.248
Pm 0.000 0.747 0.753
Pm 0.500 0.248 0.752
Th 0.500 0.500 0.000
Tm 0.000 0.500 0.500
Sm 0.500 0.000 0.500
Sm 0.000 0.000 0.000

## Properties
- SG = P2/m (10)
- M_tot (μB/cell) = 0.00
- formation energy from the elements (eV/atom) = 0.14
- DOS(E_F) (states/eV/cell) = 16.23

Q: Number 2 is which compound?
A: VSe2BrCl

Q: What is the formula in the first record?
A: PrSi2Os4

Q: What is the DOS(E_F) in the fourth record?
A: 26.07 states/eV/cell

Q: The lowest DOS(E_F) belongs to which entry?
A: RbBeInCl4